Entry 1:
Sr2MnTe: optimized geometry, GGA-PBE.

Cell lengths 4.676, 4.676, 6.712 Å; angles 90.00, 90.00, 90.00 degrees
Atoms (fractional coordinates):
Sr 0.000 0.000 0.000
Sr 0.500 0.500 0.426
Mn 0.500 0.500 0.932
Te 0.000 0.000 0.504

Summary:
VASP energy   -4.171 eV/atom
DOS at the Fermi energy   3.2 states/eV/cell
Energy relative to the elements, uncorrected   -252 meV per atom



Entry 2:
Sr3Mn5Te12: optimized geometry, GGA-PBE.

Cell lengths 14.989, 14.989, 14.989 Å; angles 109.47, 109.47, 109.47 degrees
Atoms (fractional coordinates):
Sr 0.125 0.250 0.375
Sr 0.125 0.375 0.750
Sr 0.250 0.375 0.125
Sr 0.250 0.875 0.625
Sr 0.375 0.125 0.250
Sr 0.375 0.750 0.125
Sr 0.625 0.250 0.875
Sr 0.625 0.875 0.750
Sr 0.750 0.125 0.375
Sr 0.750 0.625 0.875
Sr 0.875 0.625 0.250
Sr 0.875 0.750 0.625
Mn 0.000 0.000 0.000
Mn 0.000 0.000 0.500
Mn 0.000 0.500 0.000
Mn 0.000 0.500 0.500
Mn 0.125 0.750 0.875
Mn 0.125 0.875 0.250
Mn 0.250 0.125 0.875
Mn 0.250 0.625 0.375
Mn 0.375 0.250 0.625
Mn 0.375 0.625 0.750
Mn 0.500 0.000 0.000
Mn 0.500 0.000 0.500
Mn 0.500 0.500 0.000
Mn 0.500 0.500 0.500
Mn 0.625 0.375 0.250
Mn 0.625 0.750 0.375
Mn 0.750 0.375 0.625
Mn 0.750 0.875 0.125
Mn 0.875 0.125 0.750
Mn 0.875 0.250 0.125
Te 0.022 0.200 0.111
Te 0.022 0.323 0.911
Te 0.089 0.611 0.411
Te 0.089 0.700 0.677
Te 0.089 0.889 0.411
Te 0.089 0.978 0.677
Te 0.111 0.022 0.200
Te 0.111 0.589 0.911
Te 0.177 0.200 0.589
Te 0.177 0.478 0.589
Te 0.200 0.111 0.022
Te 0.200 0.589 0.177
Te 0.300 0.323 0.911
Te 0.300 0.478 0.389
Te 0.323 0.911 0.022
Te 0.323 0.911 0.300
Te 0.389 0.300 0.478
Te 0.389 0.589 0.911
Te 0.411 0.089 0.611
Te 0.411 0.089 0.889
Te 0.411 0.823 0.522
Te 0.411 0.823 0.800
Te 0.478 0.389 0.300
Te 0.478 0.589 0.177
Te 0.522 0.411 0.823
Te 0.522 0.611 0.700
Te 0.589 0.177 0.200
Te 0.589 0.177 0.478
Te 0.589 0.911 0.111
Te 0.589 0.911 0.389
Te 0.611 0.411 0.089
Te 0.611 0.700 0.522
Te 0.677 0.089 0.700
Te 0.677 0.089 0.978
Te 0.700 0.522 0.611
Te 0.700 0.677 0.089
Te 0.800 0.411 0.823
Te 0.800 0.889 0.978
Te 0.823 0.522 0.411
Te 0.823 0.800 0.411
Te 0.889 0.411 0.089
Te 0.889 0.978 0.800
Te 0.911 0.022 0.323
Te 0.911 0.111 0.589
Te 0.911 0.300 0.323
Te 0.911 0.389 0.589
Te 0.978 0.677 0.089
Te 0.978 0.800 0.889

Summary:
VASP energy   -4.924 eV/atom
DOS at the Fermi energy   37.2 states/eV/cell
Energy relative to the elements, uncorrected   -494 meV per atom



Entry 3:
Sr2MnTe: optimized geometry, GGA-PBE.

Cell lengths 7.357, 7.357, 7.357 Å; angles 106.89, 106.89, 114.76 degrees
Atoms (fractional coordinates):
Sr 0.121 0.625 0.996
Sr 0.375 0.371 0.496
Sr 0.629 0.125 0.004
Sr 0.875 0.879 0.504
Mn 0.250 0.750 0.500
Mn 0.500 0.500 0.000
Te 0.000 0.000 0.000
Te 0.750 0.250 0.500

Summary:
VASP energy   -4.027 eV/atom
DOS at the Fermi energy   6.9 states/eV/cell
Energy relative to the elements, uncorrected   -108 meV per atom



Entry 4:
SrMn2Te: optimized geometry, GGA-PBE.

Cell lengths 5.949, 5.949, 5.949 Å; angles 135.90, 135.90, 64.14 degrees
Atoms (fractional coordinates):
Sr 0.000 0.000 0.000
Mn 0.500 0.500 0.000
Mn 0.750 0.250 0.500
Te 0.250 0.750 0.500

Summary:
VASP energy   -5.477 eV/atom
DOS at the Fermi energy   4.2 states/eV/cell
Energy relative to the elements, uncorrected   314 meV per atom



Entry 5:
SrMn2Te: optimized geometry, GGA-PBE.

Cell lengths 6.774, 6.774, 6.774 Å; angles 144.67, 143.40, 51.78 degrees
Atoms (fractional coordinates):
Sr 0.000 0.000 0.000
Mn 0.383 0.383 0.000
Mn 0.746 0.246 0.500
Te 0.228 0.728 0.500

Summary:
VASP energy   -5.581 eV/atom
DOS at the Fermi energy   4.4 states/eV/cell
Energy relative to the elements, uncorrected   209 meV per atom



Entry 6:
Sr2MnTe: optimized geometry, GGA-PBE.

Cell lengths 5.660, 5.660, 5.660 Å; angles 60.00, 60.00, 60.00 degrees
Atoms (fractional coordinates):
Sr 0.000 0.000 0.000
Sr 0.250 0.250 0.250
Mn 0.500 0.500 0.500
Te 0.750 0.750 0.750

Summary:
VASP energy   -3.814 eV/atom
DOS at the Fermi energy   3.5 states/eV/cell
Energy relative to the elements, uncorrected   104 meV per atom



Entry 7:
SrMn2Te: optimized geometry, GGA-PBE.

Cell lengths 10.188, 10.188, 10.188 Å; angles 152.11, 152.11, 39.85 degrees
Atoms (fractional coordinates):
Sr 0.000 0.000 0.000
Sr 0.750 0.250 0.500
Mn 0.367 0.625 0.242
Mn 0.375 0.617 0.742
Mn 0.383 0.125 0.758
Mn 0.875 0.633 0.258
Te 0.250 0.750 0.500
Te 0.500 0.500 0.000

Summary:
VASP energy   -5.563 eV/atom
DOS at the Fermi energy   7.3 states/eV/cell
Energy relative to the elements, uncorrected   228 meV per atom



Entry 8:
SrMn4Te: optimized geometry, GGA-PBE.

Cell lengths 5.643, 5.643, 5.643 Å; angles 60.00, 60.00, 60.00 degrees
Atoms (fractional coordinates):
Sr 0.000 0.000 0.000
Mn 0.373 0.373 0.373
Mn 0.373 0.373 0.881
Mn 0.373 0.881 0.373
Mn 0.881 0.373 0.373
Te 0.750 0.750 0.750

Summary:
VASP energy   -6.469 eV/atom
DOS at the Fermi energy   6.3 states/eV/cell
Energy relative to the elements, uncorrected   448 meV per atom



Entry 9:
SrMn2Te: optimized geometry, GGA-PBE.

Cell lengths 4.479, 4.497, 4.916 Å; angles 90.00, 90.10, 90.00 degrees
Atoms (fractional coordinates):
Sr 0.000 0.000 0.000
Mn 0.000 0.500 0.500
Mn 0.500 0.000 0.500
Te 0.500 0.500 0.000

Summary:
VASP energy   -5.539 eV/atom
DOS at the Fermi energy   4.0 states/eV/cell
Energy relative to the elements, uncorrected   252 meV per atom



Entry 10:
Sr2MnTe: optimized geometry, GGA-PBE.

Cell lengths 4.542, 4.542, 8.651 Å; angles 105.11, 105.11, 59.86 degrees
Atoms (fractional coordinates):
Sr 0.247 0.247 0.243
Sr 0.753 0.753 0.757
Mn 0.000 0.000 0.500
Te 0.500 0.500 0.000

Summary:
VASP energy   -4.211 eV/atom
DOS at the Fermi energy   3.6 states/eV/cell
Energy relative to the elements, uncorrected   -293 meV per atom



Entry 11:
SrMn2Te: optimized geometry, GGA-PBE.

Cell lengths 4.230, 4.884, 5.363 Å; angles 90.00, 90.00, 90.00 degrees
Atoms (fractional coordinates):
Sr 0.000 0.000 0.000
Mn 0.500 0.500 0.248
Mn 0.500 0.500 0.752
Te 0.500 0.000 0.500

Summary:
VASP energy   -5.650 eV/atom
DOS at the Fermi energy   3.9 states/eV/cell
Energy relative to the elements, uncorrected   141 meV per atom



Entry 12:
Sr2MnTe3: optimized geometry, GGA-PBE.

Cell lengths 9.511, 4.599, 18.516 Å; angles 90.00, 90.00, 90.00 degrees
Atoms (fractional coordinates):
Sr 0.076 0.250 0.215
Sr 0.249 0.750 0.463
Sr 0.251 0.250 0.963
Sr 0.424 0.750 0.715
Sr 0.576 0.250 0.285
Sr 0.749 0.750 0.037
Sr 0.751 0.250 0.537
Sr 0.924 0.750 0.785
Mn 0.131 0.250 0.637
Mn 0.369 0.750 0.137
Mn 0.631 0.250 0.863
Mn 0.869 0.750 0.363
Te 0.010 0.250 0.401
Te 0.116 0.750 0.072
Te 0.190 0.250 0.779
Te 0.310 0.750 0.279
Te 0.384 0.250 0.572
Te 0.490 0.750 0.901
Te 0.510 0.250 0.099
Te 0.616 0.750 0.428
Te 0.690 0.250 0.721
Te 0.810 0.750 0.221
Te 0.884 0.250 0.928
Te 0.990 0.750 0.599

Summary:
VASP energy   -4.830 eV/atom
Energy relative to the elements, uncorrected   -1171 meV per atom